Below is an optimized crystal structure of TbThTeIr, with properties calculated at the PBE-GGA level.

Summary:
E_form (uncorrected) ... -4.48 eV per formula unit

Cell: 4.1946 4.1948 7.8822 Å, 90.00 105.43 120.00°
Element x y z (fractional)
Th (0.1013, 0.9486, 0.0652)
Tb (0.4998, 0.1478, 0.6629)
Te (0.9734, 0.3848, 0.3732)
Ir (0.3034, 0.5496, 0.8684)

=====

Below is an optimized crystal structure of Ba3Cd2Cl2O4, with properties calculated at the PBE-GGA level.

Summary:
E_form (uncorrected) ... -21.72 eV per formula unit

Cell: 4.4806 4.4806 12.1311 Å, 100.64 100.64 90.00°
Element x y z (fractional)
Cd (0.5801, 0.5801, 0.1602)
O (0.5798, 0.0798, 0.1595)
Ba (0.1539, 0.1539, 0.3079)
O (0.0798, 0.5798, 0.1595)
Ba (0.0000, 0.0000, 0.0000)
Cl (0.7035, 0.7035, 0.4070)
O (0.9202, 0.4202, 0.8405)
Ba (0.8461, 0.8461, 0.6921)
O (0.4202, 0.9202, 0.8405)
Cl (0.2965, 0.2965, 0.5930)
Cd (0.4199, 0.4199, 0.8398)

=====

Below is an optimized crystal structure of ScRe2, with properties calculated at the PBE-GGA level.

Cell: 4.2022 4.2022 3.8982 Å, 90.00 90.00 120.00°
Element x y z (fractional)
Re (0.3333, 0.6667, 0.5000)
Re (0.6667, 0.3333, 0.5000)
Sc (0.0000, 0.0000, 0.0000)

=====

Below is an optimized crystal structure of Tb7NdTl4, with properties calculated at the PBE-GGA level.

Cell: 5.7635 9.2972 7.9143 Å, 73.30 68.65 71.94°
Element x y z (fractional)
Tb (0.5000, 0.0000, 0.0000)
Nd (0.0000, 0.0000, 0.0000)
Tl (0.5590, 0.2527, 0.6293)
Tl (0.3136, 0.3333, 0.0394)
Tl (0.6864, 0.6667, 0.9606)
Tb (0.2073, 0.1214, 0.4639)
Tb (0.9370, 0.3977, 0.7283)
Tb (0.0630, 0.6023, 0.2717)
Tl (0.4410, 0.7473, 0.3707)
Tb (0.7261, 0.3347, 0.2131)
Tb (0.7927, 0.8786, 0.5361)
Tb (0.2739, 0.6653, 0.7869)

=====

Below is an optimized crystal structure of Cs2SnBrCl6, with properties calculated at the PBE-GGA level.

Summary:
E above lowest polymorph ... 0 meV per atom
E_form (uncorrected) ... -12.35 eV per formula unit

Cell: 7.5217 9.5901 10.6482 Å, 90.00 90.00 90.00°
Site moments in Bohr magnetons follow the coordinates.
Element x y z (fractional)
Cl (0.7706, 0.9776, 0.0000)  0.03
Cl (0.5000, 0.1961, 0.2640)  0.08
Cl (0.7655, 0.6133, 0.0000)  0.01
Br (0.0000, 0.7075, 0.5000)  0.54
Cs (0.5000, 0.7990, 0.7529)  0.00
Br (0.5000, 0.2925, 0.0000)  0.54
Cl (0.2345, 0.6133, 0.0000)  0.01
Sn (0.5000, 0.2104, 0.5000)  0.02
Cs (0.0000, 0.2010, 0.7471)  0.00
Cl (0.0000, 0.8039, 0.7640)  0.08
Cl (0.7294, 0.0224, 0.5000)  0.03
Sn (0.0000, 0.7896, 0.0000)  0.02
Cs (0.5000, 0.7990, 0.2471)  0.00
Cl (0.2706, 0.0224, 0.5000)  0.03
Cl (0.2294, 0.9776, 0.0000)  0.03
Cs (0.0000, 0.2010, 0.2529)  0.00
Cl (0.5000, 0.1961, 0.7360)  0.08
Cl (0.2655, 0.3867, 0.5000)  0.01
Cl (0.0000, 0.8039, 0.2360)  0.08
Cl (0.7345, 0.3867, 0.5000)  0.01

=====

Below is an optimized crystal structure of K3Ir, with properties calculated at the PBE-GGA level.

Summary:
E above lowest polymorph ... 64 meV per atom

Cell: 6.3325 6.3325 6.3325 Å, 90.00 90.00 90.00°
Site moments in Bohr magnetons follow the coordinates.
Element x y z (fractional)
K (0.0000, 0.7500, 0.5000)  0.00
K (0.7500, 0.5000, 0.0000)  0.00
Ir (0.5000, 0.5000, 0.5000)  0.24
K (0.5000, 0.0000, 0.7500)  0.00
K (0.2500, 0.5000, 0.0000)  0.00
Ir (0.0000, 0.0000, 0.0000)  0.24
K (0.5000, 0.0000, 0.2500)  0.00
K (0.0000, 0.2500, 0.5000)  0.00

=====

Going through the records in order, we get VASP energy values of -0.5242; -0.3531; -0.7367; -0.2881; -0.2265; -0.1693 Ry/atom.